Record 1
A plane-wave DFT calculation with PBE was carried out for a relaxed Cu2HgH crystal.

Total energy: -2.758 eV/atom
Energy above the most stable polymorph in this dataset: 0 kJ/mol of formula units
SG: No. 122

Unit cell a=5.417 b=5.417 c=7.057 alpha=90.00 beta=90.00 gamma=90.00
Fractional coordinates of all 16 atoms:
Cu 0.078 0.750 0.125
Cu 0.250 0.078 0.875
Cu 0.250 0.422 0.375
Cu 0.422 0.750 0.625
Cu 0.578 0.250 0.625
Cu 0.750 0.578 0.375
Cu 0.750 0.922 0.875
Cu 0.922 0.250 0.125
Hg 0.000 0.000 0.500
Hg 0.000 0.500 0.750
Hg 0.500 0.000 0.250
Hg 0.500 0.500 0.000
H 0.000 0.000 0.000
H 0.000 0.500 0.250
H 0.500 0.000 0.750
H 0.500 0.500 0.500



Record 2
A plane-wave DFT calculation with PBE was carried out for a relaxed Ba2LiTmCu3O7 crystal.

Total energy: -5.827 eV/atom
Energy above the most stable polymorph in this dataset: 31 kJ/mol of formula units
SG: No. 25

Unit cell a=3.761 b=12.798 c=3.952 alpha=90.00 beta=90.00 gamma=90.00
Fractional coordinates of all 14 atoms:
Ba 0.000 0.214 0.000
Ba 0.000 0.786 0.000
Li 0.000 0.000 0.118
Tm 0.000 0.500 0.005
Cu 0.500 0.000 0.550
Cu 0.500 0.380 0.505
Cu 0.500 0.620 0.505
O 0.000 0.392 0.505
O 0.000 0.608 0.505
O 0.500 0.000 0.045
O 0.500 0.151 0.533
O 0.500 0.388 0.005
O 0.500 0.612 0.005
O 0.500 0.849 0.533



Record 3
A plane-wave DFT calculation with PBE was carried out for a relaxed PmPrSmCu crystal.

E_form: -0.069 eV per atom
Total energy: -4.655 eV/atom
SG: No. 99

Unit cell a=3.613 b=3.613 c=8.830 alpha=90.00 beta=90.00 gamma=90.00
Fractional coordinates of all 4 atoms:
Pm 0.000 0.000 0.000
Pr 0.500 0.500 0.693
Sm 0.000 0.000 0.387
Cu 0.500 0.500 0.197



Record 4
A plane-wave DFT calculation with PBE was carried out for a relaxed Al3Ni5 crystal.

E_form: -0.433 eV per atom
Total energy: -5.450 eV/atom
Energy above the most stable polymorph in this dataset: 102 kJ/mol of formula units
SG: No. 193

Unit cell a=6.862 b=6.862 c=4.757 alpha=90.00 beta=90.00 gamma=120.00
Fractional coordinates of all 16 atoms:
Al 0.000 0.398 0.250
Al 0.000 0.602 0.750
Al 0.398 0.000 0.250
Al 0.398 0.398 0.750
Al 0.602 0.000 0.750
Al 0.602 0.602 0.250
Ni 0.000 0.232 0.750
Ni 0.000 0.768 0.250
Ni 0.232 0.000 0.750
Ni 0.232 0.232 0.250
Ni 0.333 0.667 0.000
Ni 0.333 0.667 0.500
Ni 0.667 0.333 0.000
Ni 0.667 0.333 0.500
Ni 0.768 0.000 0.250
Ni 0.768 0.768 0.750



Record 5
A plane-wave DFT calculation with PBE was carried out for a relaxed AcPmY14 crystal.

E_form: 0.016 eV per atom
Total energy: -6.194 eV/atom
SG: No. 38

Unit cell a=11.638 b=7.238 c=7.238 alpha=60.14 beta=90.00 gamma=90.00
Fractional coordinates of all 16 atoms:
Ac 0.000 0.000 0.000
Pm 0.000 0.501 0.501
Y 0.000 0.002 0.500
Y 0.000 0.500 0.002
Y 0.251 0.667 0.667
Y 0.254 0.168 0.168
Y 0.255 0.168 0.665
Y 0.255 0.665 0.168
Y 0.500 0.334 0.334
Y 0.500 0.336 0.834
Y 0.500 0.833 0.833
Y 0.500 0.834 0.336
Y 0.745 0.168 0.665
Y 0.745 0.665 0.168
Y 0.746 0.168 0.168
Y 0.749 0.667 0.667



Record 6
A plane-wave DFT calculation with PBE was carried out for a relaxed LaY9Si8 crystal.

Total energy: -6.694 eV/atom
SG: No. 4

Unit cell a=7.748 b=7.488 c=14.705 alpha=90.00 beta=90.41 gamma=90.00
Fractional coordinates of all 36 atoms:
La 0.071 0.000 0.156
La 0.929 0.500 0.844
Y 0.066 0.006 0.849
Y 0.069 0.292 0.373
Y 0.073 0.289 0.626
Y 0.238 0.326 0.000
Y 0.262 0.620 0.499
Y 0.429 0.659 0.871
Y 0.430 0.657 0.127
Y 0.433 0.942 0.352
Y 0.434 0.944 0.650
Y 0.566 0.444 0.350
Y 0.567 0.442 0.648
Y 0.570 0.157 0.873
Y 0.571 0.159 0.129
Y 0.738 0.120 0.501
Y 0.762 0.826 0.000
Y 0.927 0.789 0.374
Y 0.931 0.792 0.627
Y 0.934 0.506 0.151
Si 0.127 0.710 0.998
Si 0.146 0.993 0.501
Si 0.221 0.622 0.291
Si 0.230 0.615 0.705
Si 0.280 0.337 0.211
Si 0.283 0.327 0.787
Si 0.359 0.953 0.999
Si 0.376 0.237 0.500
Si 0.624 0.737 0.500
Si 0.641 0.453 0.001
Si 0.717 0.827 0.213
Si 0.720 0.837 0.789
Si 0.770 0.115 0.295
Si 0.779 0.122 0.709
Si 0.854 0.493 0.499
Si 0.873 0.210 0.002



Record 7
A plane-wave DFT calculation with PBE was carried out for a relaxed CaSb2H2 crystal.

Total energy: -3.490 eV/atom
Energy above the most stable polymorph in this dataset: 111 kJ/mol of formula units
SG: No. 127

Unit cell a=6.799 b=6.799 c=4.309 alpha=90.00 beta=90.00 gamma=90.00
Fractional coordinates of all 10 atoms:
Ca 0.000 0.000 0.000
Ca 0.500 0.500 0.000
Sb 0.154 0.346 0.500
Sb 0.346 0.846 0.500
Sb 0.654 0.154 0.500
Sb 0.846 0.654 0.500
H 0.172 0.328 0.000
H 0.328 0.828 0.000
H 0.672 0.172 0.000
H 0.828 0.672 0.000



Record 8
A plane-wave DFT calculation with PBE was carried out for a relaxed BaReRh crystal.

E_form: 1.588 eV per atom
Total energy: -5.653 eV/atom
Energy above the most stable polymorph in this dataset: 424 kJ/mol of formula units
SG: No. 194

Unit cell a=5.489 b=5.489 c=9.270 alpha=90.00 beta=90.00 gamma=120.00
Fractional coordinates of all 6 atoms:
Ba 0.333 0.667 0.250
Ba 0.667 0.333 0.750
Re 0.000 0.000 0.250
Re 0.000 0.000 0.750
Rh 0.000 0.000 0.000
Rh 0.000 0.000 0.500